Record 1
Crystalline HfAlNi at its relaxed geometry, computed with PBE.

Values from the calculation:
The total energy is -84.27 eV per cell.

a b c (Å): 6.486 3.987 7.288
angles (deg): 90.00 90.00 90.00
Fractional coordinates of all 12 atoms:
Al 0.150 0.750 0.067
Ni 0.736 0.250 0.609
Al 0.850 0.250 0.933
Al 0.650 0.750 0.433
Hf 0.483 0.250 0.180
Ni 0.264 0.750 0.391
Al 0.350 0.250 0.567
Ni 0.236 0.250 0.891
Ni 0.764 0.750 0.109
Hf 0.517 0.750 0.820
Hf 0.017 0.750 0.680
Hf 0.983 0.250 0.320

Record 2
Crystalline RbPmIn at its relaxed geometry, computed with PBE.

Values from the calculation:
The distance to the lowest polymorph of the same formula comes out at 0 meV per atom.

a b c (Å): 5.678 5.678 5.678
angles (deg): 60.00 60.00 60.00
Fractional coordinates of all 3 atoms:
Pm 0.250 0.250 0.250
Rb 0.750 0.750 0.750
In 0.000 0.000 0.000